(1)
YTh4Co4: relaxed, GGA-PBE.

Computed properties:
volume = 416 Å³ per cell
total moment = 0.00 μB/atom
formation energy from the elements = -0.235 eV/atom

The structure in POSCAR format:
```
YTh4Co4
1.0
8.653 0.000 0.000
0.000 8.653 0.000
0.000 0.000 5.562
Y Th Co
2 8 8
direct
0.250 0.250 0.250
0.750 0.750 0.750
0.057 0.661 0.189
0.161 0.943 0.689
0.339 0.557 0.689
0.443 0.839 0.189
0.557 0.161 0.811
0.661 0.443 0.311
0.839 0.057 0.311
0.943 0.339 0.811
0.043 0.623 0.679
0.123 0.957 0.179
0.377 0.543 0.179
0.457 0.877 0.679
0.543 0.123 0.321
0.623 0.457 0.821
0.877 0.043 0.821
0.957 0.377 0.321
```

---

(2)
Mo4OsW: relaxed, GGA-PBE.

Computed properties:
volume = 96 Å³ per cell
total moment = 0.00 μB/atom
formation energy from the elements = 0.402 eV/atom

The structure in POSCAR format:
```
Mo4OsW
1.0
0.000 3.640 3.640
3.640 0.000 3.640
3.640 3.640 0.000
Mo Os W
4 1 1
direct
0.376 0.376 0.376
0.376 0.376 0.872
0.376 0.872 0.376
0.872 0.376 0.376
0.000 0.000 0.000
0.750 0.750 0.750
```

---

The highest formation energy from the elements belongs to which entry?
Mo4OsW

---

Which value of formation energy from the elements does entry 2 give?
0.402 eV/atom